(1)
A plane-wave DFT calculation with PBE was carried out for an optimized crystal structure of Ba2Sn3Hg3.

## Properties
SG: Pm (6)
Density (g/cm3): 8.2
Excess energy over the best structure of this formula in the dataset (meV per atom): 14.8

Unit cell a=7.3095 b=5.2815 c=7.4470 alpha=90.00 beta=119.16 gamma=90.00
Atoms (fractional coordinates):
Ba (0.0000, 0.0000, 0.0000)
Ba (0.3369, 0.5000, 0.6763)
Sn (0.3825, 0.5000, 0.2051)
Sn (0.5259, 0.0000, 0.4676)
Sn (0.9359, 0.0000, 0.4677)
Hg (0.5155, 0.0000, 0.0239)
Hg (0.8274, 0.5000, 0.1997)
Hg (0.8284, 0.5000, 0.6529)

***

(2)
A plane-wave DFT calculation with PBE was carried out for an optimized crystal structure of Zr3Al3PtAu2.

## Properties
SG: P-62m (189)
Size of the total moment (μB per formula unit): 0.01
Density (g/cm3): 9.5

Unit cell a=6.9119 b=6.9119 c=3.9960 alpha=90.00 beta=90.00 gamma=120.00
Atoms (fractional coordinates):
Zr (0.0000, 0.4073, 0.0000)
Zr (0.4073, 0.0000, 0.0000)
Zr (0.5927, 0.5927, 0.0000)
Al (0.0000, 0.7547, 0.5000)
Al (0.2453, 0.2453, 0.5000)
Al (0.7547, 0.0000, 0.5000)
Pt (0.0000, 0.0000, 0.0000)
Au (0.3333, 0.6667, 0.5000)
Au (0.6667, 0.3333, 0.5000)

***

(3)
A plane-wave DFT calculation with PBE was carried out for an optimized crystal structure of Th2Ga5Ni5.

## Properties
SG: Pmmm (47)
Size of the total moment (μB per formula unit): 0.00
Density (g/cm3): 9.5

Unit cell a=4.1184 b=5.2220 c=8.9502 alpha=90.00 beta=90.00 gamma=90.00
Atoms (fractional coordinates):
Th (0.0000, 0.0000, 0.0000)
Th (0.0000, 0.5000, 0.5000)
Ga (0.5000, 0.0000, 0.5000)
Ga (0.5000, 0.2511, 0.2373)
Ga (0.5000, 0.2511, 0.7627)
Ga (0.5000, 0.7489, 0.2373)
Ga (0.5000, 0.7489, 0.7627)
Ni (0.0000, 0.0000, 0.3357)
Ni (0.0000, 0.0000, 0.6643)
Ni (0.0000, 0.5000, 0.1732)
Ni (0.0000, 0.5000, 0.8268)
Ni (0.5000, 0.5000, 0.0000)

***

How do the records compare in E_tot? In the order shown, they have -2.519 -6.289 -5.394 eV/atom.